[1]
# Sc2TlHg GGA-PBEsol optimized geometry
# * density of states at the Fermi level: 4.2 states/eV/f.u.
# * ΔE_f: -261 meV/atom
# * VASP energy: -0.16032 Ha/atom
# * V: 89.63 Å³/f.u.
# * magnetization: 0.000 μB per formula unit
data_Sc2TlHg
_cell_length_a 3.398
_cell_length_b 4.378
_cell_length_c 6.025
_cell_angle_alpha 90.00
_cell_angle_beta 90.00
_cell_angle_gamma 90.00
_space_group_name_H-M_alt 'P m m 2'
_space_group_IT_number 25
loop_
_space_group_symop_operation_xyz
'x,y,z'
'-x,-y,z'
'-x,y,z'
'x,-y,z'
loop_
_atom_site_label
_atom_site_type_symbol
_atom_site_fract_x
_atom_site_fract_y
_atom_site_fract_z
Sc1 Sc 0.000 0.000 0.000
Sc2 Sc 0.500 0.500 0.296
Tl1 Tl 0.000 0.000 0.499
Hg1 Hg 0.500 0.500 0.802

[2]
# Sc4TlHg GGA-PBEsol optimized geometry
# * density of states at the Fermi level: 6.9 states/eV/f.u.
# * ΔE_f: 135 meV/atom
# * VASP energy: -0.17643 Ha/atom
# * V: 135.40 Å³/f.u.
# * magnetization: 0.000 μB per formula unit
data_Sc4TlHg
_cell_length_a 8.151
_cell_length_b 8.151
_cell_length_c 8.151
_cell_angle_alpha 90.00
_cell_angle_beta 90.00
_cell_angle_gamma 90.00
_space_group_name_H-M_alt 'F -4 3 m'
_space_group_IT_number 216
_space_group_name_Hall 'F -4 2 3'
loop_
_atom_site_label
_atom_site_type_symbol
_atom_site_fract_x
_atom_site_fract_y
_atom_site_fract_z
Sc1 Sc 0.125 0.125 0.125
Tl1 Tl 0.000 0.000 0.500
Hg1 Hg 0.250 0.250 0.750

[3]
# ScHgW2 GGA-PBEsol optimized geometry
# * density of states at the Fermi level: 3.3 states/eV/f.u.
# * ΔE_f: 353 meV/atom
# * VASP energy: -0.30663 Ha/atom
# * V: 70.24 Å³/f.u.
# * magnetization: 0.001 μB per formula unit
data_ScHgW2
_cell_length_a 2.775
_cell_length_b 2.775
_cell_length_c 9.122
_cell_angle_alpha 90.00
_cell_angle_beta 90.00
_cell_angle_gamma 90.00
_space_group_name_H-M_alt 'P 4 m m'
_space_group_IT_number 99
loop_
_space_group_symop_operation_xyz
'x,y,z'
'-y,x,z'
'-x,-y,z'
'y,-x,z'
'-x,y,z'
'y,x,z'
'x,-y,z'
'-y,-x,z'
loop_
_atom_site_label
_atom_site_type_symbol
_atom_site_fract_x
_atom_site_fract_y
_atom_site_fract_z
Sc1 Sc 0.000 0.000 0.000
Hg1 Hg 0.500 0.500 0.738
W1 W 0.000 0.000 0.489
W2 W 0.500 0.500 0.245

[4]
# ScHg2W GGA-PBEsol optimized geometry
# * density of states at the Fermi level: 3.4 states/eV/f.u.
# * offset from the most stable computed form: 0.086 eV/atom
# * ΔE_f: 284 meV/atom
# * VASP energy: -0.18751 Ha/atom
# * V: 75.66 Å³/f.u.
# * magnetization: 0.000 μB per formula unit
data_ScHg2W
_cell_length_a 9.866
_cell_length_b 2.953
_cell_length_c 5.268
_cell_angle_alpha 90.00
_cell_angle_beta 99.62
_cell_angle_gamma 90.00
_space_group_name_H-M_alt 'C 1 2/m 1'
_space_group_IT_number 12
loop_
_space_group_symop_operation_xyz
'x,y,z'
'-x,-y,-z'
'-x,y,-z'
'x,-y,z'
'x+1/2,y+1/2,z'
'-x+1/2,-y+1/2,-z'
'-x+1/2,y+1/2,-z'
'x+1/2,-y+1/2,z'
loop_
_atom_site_label
_atom_site_type_symbol
_atom_site_fract_x
_atom_site_fract_y
_atom_site_fract_z
Sc1 Sc 0.000 0.000 0.000
Hg1 Hg 0.247 0.000 0.742
W1 W 0.000 0.500 0.500

[5]
# ScHg2W GGA-PBEsol optimized geometry
# * density of states at the Fermi level: 4.2 states/eV/f.u.
# * offset from the most stable computed form: 0.157 eV/atom
# * ΔE_f: 355 meV/atom
# * VASP energy: -0.18490 Ha/atom
# * V: 74.92 Å³/f.u.
# * magnetization: 0.803 μB per formula unit
data_ScHg2W
_cell_length_a 6.692
_cell_length_b 6.692
_cell_length_c 6.692
_cell_angle_alpha 90.00
_cell_angle_beta 90.00
_cell_angle_gamma 90.00
_space_group_name_H-M_alt 'F m -3 m'
_space_group_IT_number 225
_space_group_name_Hall '-F 4 2 3'
loop_
_atom_site_label
_atom_site_type_symbol
_atom_site_fract_x
_atom_site_fract_y
_atom_site_fract_z
Sc1 Sc 0.000 0.000 0.000
Hg1 Hg 0.250 0.250 0.250
W1 W 0.000 0.000 0.500

[6]
# ScHg2W GGA-PBEsol optimized geometry
# * density of states at the Fermi level: 3.0 states/eV/f.u.
# * offset from the most stable computed form: 0.000 eV/atom
# * ΔE_f: 198 meV/atom
# * VASP energy: -0.19067 Ha/atom
# * V: 73.61 Å³/f.u.
# * magnetization: 0.001 μB per formula unit
data_ScHg2W
_cell_length_a 2.981
_cell_length_b 4.201
_cell_length_c 5.877
_cell_angle_alpha 90.00
_cell_angle_beta 90.00
_cell_angle_gamma 90.00
_space_group_name_H-M_alt 'P m m m'
_space_group_IT_number 47
loop_
_space_group_symop_operation_xyz
'x,y,z'
'-x,-y,-z'
'-x,-y,z'
'x,y,-z'
'x,-y,-z'
'-x,y,z'
'-x,y,-z'
'x,-y,z'
loop_
_atom_site_label
_atom_site_type_symbol
_atom_site_fract_x
_atom_site_fract_y
_atom_site_fract_z
Sc1 Sc 0.000 0.000 0.000
Hg1 Hg 0.500 0.500 0.257
W1 W 0.000 0.000 0.500

[7]
# YSc2Hg2 GGA-PBEsol optimized geometry
# * density of states at the Fermi level: 2.8 states/eV/f.u.
# * ΔE_f: -443 meV/atom
# * VASP energy: -0.17186 Ha/atom
# * V: 115.31 Å³/f.u.
# * magnetization: 0.000 μB per formula unit
data_YSc2Hg2
_cell_length_a 8.055
_cell_length_b 8.055
_cell_length_c 3.554
_cell_angle_alpha 90.00
_cell_angle_beta 90.00
_cell_angle_gamma 90.00
_space_group_name_H-M_alt 'P 4/m b m'
_space_group_IT_number 127
_space_group_name_Hall '-P 4 2ab'
loop_
_atom_site_label
_atom_site_type_symbol
_atom_site_fract_x
_atom_site_fract_y
_atom_site_fract_z
Y1 Y 0.000 0.000 0.000
Sc1 Sc 0.167 0.333 0.500
Hg1 Hg 0.132 0.632 0.000

[8]
# YScHg GGA-PBEsol optimized geometry
# * density of states at the Fermi level: 0.9 states/eV/f.u.
# * offset from the most stable computed form: 0.000 eV/atom
# * ΔE_f: -438 meV/atom
# * VASP energy: -0.18752 Ha/atom
# * V: 72.22 Å³/f.u.
# * magnetization: 0.000 μB per formula unit
data_YScHg
_cell_length_a 6.454
_cell_length_b 5.021
_cell_length_c 8.915
_cell_angle_alpha 90.00
_cell_angle_beta 90.00
_cell_angle_gamma 90.00
_space_group_name_H-M_alt 'P n m a'
_space_group_IT_number 62
loop_
_space_group_symop_operation_xyz
'x,y,z'
'-x,-y,-z'
'-x+1/2,-y,z+1/2'
'x+1/2,y,-z+1/2'
'x+1/2,-y+1/2,-z+1/2'
'-x+1/2,y+1/2,z+1/2'
'-x,y+1/2,-z'
'x,-y+1/2,z'
loop_
_atom_site_label
_atom_site_type_symbol
_atom_site_fract_x
_atom_site_fract_y
_atom_site_fract_z
Y1 Y 0.188 0.250 0.078
Sc1 Sc 0.013 0.250 0.706
Hg1 Hg 0.221 0.250 0.406

[9]
# YScHg GGA-PBEsol optimized geometry
# * density of states at the Fermi level: 3.3 states/eV/f.u.
# * offset from the most stable computed form: 0.086 eV/atom
# * ΔE_f: -352 meV/atom
# * VASP energy: -0.18435 Ha/atom
# * V: 72.71 Å³/f.u.
# * magnetization: 1.131 μB per formula unit
data_YScHg
_cell_length_a 3.440
_cell_length_b 3.440
_cell_length_c 12.285
_cell_angle_alpha 90.00
_cell_angle_beta 90.00
_cell_angle_gamma 90.00
_space_group_name_H-M_alt 'I 4 m m'
_space_group_IT_number 107
_space_group_name_Hall 'I 4 -2'
loop_
_atom_site_label
_atom_site_type_symbol
_atom_site_fract_x
_atom_site_fract_y
_atom_site_fract_z
Y1 Y 0.000 0.000 0.000
Sc1 Sc 0.000 0.000 0.310
Hg1 Hg 0.000 0.000 0.670

[10]
# Sc2ZnHg GGA-PBEsol optimized geometry
# * density of states at the Fermi level: 5.7 states/eV/f.u.
# * offset from the most stable computed form: 0.353 eV/atom
# * ΔE_f: -96 meV/atom
# * VASP energy: -0.14464 Ha/atom
# * V: 76.40 Å³/f.u.
# * magnetization: 1.826 μB per formula unit
data_Sc2ZnHg
_cell_length_a 6.736
_cell_length_b 6.736
_cell_length_c 6.736
_cell_angle_alpha 90.00
_cell_angle_beta 90.00
_cell_angle_gamma 90.00
_space_group_name_H-M_alt 'F -4 3 m'
_space_group_IT_number 216
_space_group_name_Hall 'F -4 2 3'
loop_
_atom_site_label
_atom_site_type_symbol
_atom_site_fract_x
_atom_site_fract_y
_atom_site_fract_z
Sc1 Sc 0.000 0.000 0.000
Sc2 Sc 0.250 0.250 0.250
Zn1 Zn 0.000 0.000 0.500
Hg1 Hg 0.250 0.250 0.750

[11]
# Sc2ZnHg GGA-PBEsol optimized geometry
# * density of states at the Fermi level: 3.8 states/eV/f.u.
# * offset from the most stable computed form: 0.001 eV/atom
# * ΔE_f: -448 meV/atom
# * VASP energy: -0.15759 Ha/atom
# * V: 77.86 Å³/f.u.
# * magnetization: 0.004 μB per formula unit
data_Sc2ZnHg
_cell_length_a 3.469
_cell_length_b 4.738
_cell_length_c 4.738
_cell_angle_alpha 90.00
_cell_angle_beta 90.00
_cell_angle_gamma 90.00
_space_group_name_H-M_alt 'P m m 2'
_space_group_IT_number 25
loop_
_space_group_symop_operation_xyz
'x,y,z'
'-x,-y,z'
'-x,y,z'
'x,-y,z'
loop_
_atom_site_label
_atom_site_type_symbol
_atom_site_fract_x
_atom_site_fract_y
_atom_site_fract_z
Sc1 Sc 0.000 0.000 0.000
Sc2 Sc 0.000 0.500 0.499
Zn1 Zn 0.500 0.500 0.999
Hg1 Hg 0.500 0.000 0.500

[12]
# Sc2Zn2Hg GGA-PBEsol optimized geometry
# * density of states at the Fermi level: 3.4 states/eV/f.u.
# * offset from the most stable computed form: 0.000 eV/atom
# * ΔE_f: -403 meV/atom
# * VASP energy: -0.13933 Ha/atom
# * V: 91.81 Å³/f.u.
# * magnetization: 0.000 μB per formula unit
data_Sc2Zn2Hg
_cell_length_a 7.003
_cell_length_b 7.003
_cell_length_c 3.745
_cell_angle_alpha 90.00
_cell_angle_beta 90.00
_cell_angle_gamma 90.00
_space_group_name_H-M_alt 'P 4/m b m'
_space_group_IT_number 127
_space_group_name_Hall '-P 4 2ab'
loop_
_atom_site_label
_atom_site_type_symbol
_atom_site_fract_x
_atom_site_fract_y
_atom_site_fract_z
Sc1 Sc 0.169 0.331 0.000
Zn1 Zn 0.126 0.626 0.500
Hg1 Hg 0.000 0.000 0.500

Which value of ΔE_f does entry 5 give?
355 meV/atom

ΔE_f of number 4 (ScHg2W)?
284 meV/atom

Repeat the eighth record exactly.
# YScHg GGA-PBEsol optimized geometry
# * density of states at the Fermi level: 0.9 states/eV/f.u.
# * offset from the most stable computed form: 0.000 eV/atom
# * ΔE_f: -438 meV/atom
# * VASP energy: -0.18752 Ha/atom
# * V: 72.22 Å³/f.u.
# * magnetization: 0.000 μB per formula unit
data_YScHg
_cell_length_a 6.454
_cell_length_b 5.021
_cell_length_c 8.915
_cell_angle_alpha 90.00
_cell_angle_beta 90.00
_cell_angle_gamma 90.00
_space_group_name_H-M_alt 'P n m a'
_space_group_IT_number 62
loop_
_space_group_symop_operation_xyz
'x,y,z'
'-x,-y,-z'
'-x+1/2,-y,z+1/2'
'x+1/2,y,-z+1/2'
'x+1/2,-y+1/2,-z+1/2'
'-x+1/2,y+1/2,z+1/2'
'-x,y+1/2,-z'
'x,-y+1/2,z'
loop_
_atom_site_label
_atom_site_type_symbol
_atom_site_fract_x
_atom_site_fract_y
_atom_site_fract_z
Y1 Y 0.188 0.250 0.078
Sc1 Sc 0.013 0.250 0.706
Hg1 Hg 0.221 0.250 0.406